1.
The following is a PBE calculation of a relaxed Ho2Fe2Si2C crystal, from the Open Quantum Materials Database.

Values from the calculation:
Total magnetization: 0.01 μB per cell
Mass density: 7.9 Mg/m³
Total energy: -7.25 eV/atom

Cell: 10.534 3.909 6.715 Å, 90.00 129.59 90.00°
Space group C2/m (No. 12)
One atom of each set of equivalent atoms:
Ho 0.060 0.000 0.293 (multiplicity 4)
Fe 0.202 0.500 0.096 (multiplicity 4)
Si 0.160 0.500 0.714 (multiplicity 4)
C 0.000 0.500 0.000 (multiplicity 2)


2.
The following is a PBE calculation of a relaxed In3FeC crystal, from the Open Quantum Materials Database.

Values from the calculation:
Total magnetization: 2.61 μB per cell
Mass density: 6.7 Mg/m³
Total energy: -3.99 eV/atom

Cell: 4.674 4.674 4.674 Å, 90.00 90.00 90.00°
Space group Pm-3m (No. 221)
One atom of each set of equivalent atoms:
In 0.000 0.000 0.500 (multiplicity 3)
Fe 0.500 0.500 0.500 (multiplicity 1)
C 0.000 0.000 0.000 (multiplicity 1)


3.
The following is a PBE calculation of a relaxed InFeMo4C2 crystal, from the Open Quantum Materials Database.

Values from the calculation:
Total magnetization: 1.98 μB per cell
Mass density: 8.7 Mg/m³
Total energy: -9.02 eV/atom

Cell: 3.0676 3.0676 13.5494 Å, 90.00 90.00 120.00°
Space group P-6m2 (No. 187)
One atom of each set of equivalent atoms:
In 0.0000 0.0000 0.0000 (multiplicity 1)
Fe 0.6667 0.3333 0.5000 (multiplicity 1)
Mo 0.0000 0.0000 0.3503 (multiplicity 2)
Mo 0.6667 0.3333 0.1791 (multiplicity 2)
C 0.3333 0.6667 0.2639 (multiplicity 2)


4.
The following is a PBE calculation of a relaxed Nb4InFeC2 crystal, from the Open Quantum Materials Database.

Values from the calculation:
Total magnetization: 1.34 μB per cell
Mass density: 8.0 Mg/m³
Total energy: -9.01 eV/atom

Cell: 3.1407 3.1407 13.8217 Å, 90.00 90.00 120.00°
Space group P-6m2 (No. 187)
One atom of each set of equivalent atoms:
Nb 0.0000 0.0000 0.1416 (multiplicity 2)
Nb 0.3333 0.6667 0.3228 (multiplicity 2)
In 0.0000 0.0000 0.5000 (multiplicity 1)
Fe 0.3333 0.6667 0.0000 (multiplicity 1)
C 0.6667 0.3333 0.2330 (multiplicity 2)


5.
The following is a PBE calculation of a relaxed InFe4C2S crystal, from the Open Quantum Materials Database.

Values from the calculation:
Total magnetization: 4.06 μB per cell
Mass density: 7.3 Mg/m³
Total energy: -7.18 eV/atom

Cell: 3.0250 3.0250 11.3908 Å, 90.00 90.00 120.00°
Space group P-6m2 (No. 187)
One atom of each set of equivalent atoms:
In 0.0000 0.0000 0.0000 (multiplicity 1)
Fe 0.0000 0.0000 0.3554 (multiplicity 2)
Fe 0.6667 0.3333 0.1967 (multiplicity 2)
C 0.3333 0.6667 0.2650 (multiplicity 2)
S 0.6667 0.3333 0.5000 (multiplicity 1)


6.
The following is a PBE calculation of a relaxed InFeW4C2 crystal, from the Open Quantum Materials Database.

Values from the calculation:
Total magnetization: 1.71 μB per cell
Mass density: 14.0 Mg/m³
Total energy: -9.93 eV/atom

Cell: 3.0613 3.0613 13.6084 Å, 90.00 90.00 120.00°
Space group P-6m2 (No. 187)
One atom of each set of equivalent atoms:
In 0.0000 0.0000 0.0000 (multiplicity 1)
Fe 0.6667 0.3333 0.5000 (multiplicity 1)
W 0.0000 0.0000 0.3537 (multiplicity 2)
W 0.6667 0.3333 0.1803 (multiplicity 2)
C 0.3333 0.6667 0.2656 (multiplicity 2)


7.
The following is a PBE calculation of a relaxed Y4InFeC2 crystal, from the Open Quantum Materials Database.

Values from the calculation:
Total magnetization: 1.77 μB per cell
Mass density: 5.4 Mg/m³
Total energy: -7.04 eV/atom

Cell: 3.5874 3.5874 15.3234 Å, 90.00 90.00 120.00°
Space group P-6m2 (No. 187)
One atom of each set of equivalent atoms:
Y 0.0000 0.0000 0.1422 (multiplicity 2)
Y 0.3333 0.6667 0.3199 (multiplicity 2)
In 0.0000 0.0000 0.5000 (multiplicity 1)
Fe 0.3333 0.6667 0.0000 (multiplicity 1)
C 0.6667 0.3333 0.2328 (multiplicity 2)


8.
The following is a PBE calculation of a relaxed Zr4InFeC2 crystal, from the Open Quantum Materials Database.

Values from the calculation:
Total magnetization: 1.51 μB per cell
Mass density: 6.8 Mg/m³
Total energy: -8.43 eV/atom

Cell: 3.3304 3.3304 14.2569 Å, 90.00 90.00 120.00°
Space group P-6m2 (No. 187)
One atom of each set of equivalent atoms:
Zr 0.0000 0.0000 0.1381 (multiplicity 2)
Zr 0.3333 0.6667 0.3201 (multiplicity 2)
In 0.0000 0.0000 0.5000 (multiplicity 1)
Fe 0.3333 0.6667 0.0000 (multiplicity 1)
C 0.6667 0.3333 0.2357 (multiplicity 2)